# 1
LiSiSe2: relaxed, PBE.

```
4
Lattice="3.309 0.000 0.000 0.000 3.309 0.000 0.000 0.000 6.961" Properties=species:S:1:pos:R:3 pbc="T T T"
Li 1.654 1.654 5.221
Se 0.000 0.000 0.093
Se 0.000 0.000 3.387
Si 1.654 1.654 1.740
```

DOS(E_F), states/eV per atom: 0.424
SG: P4/mmm (123)
Crystal system: tetragonal
Calculated density, g/cm³: 4.20
Formation energy from raw total energies, meV/atom: -100.1

=====

# 2
Pm2SmGe4Pt3: relaxed, PBE.

```
10
Lattice="-1.198 3.328 2.477 -4.136 -0.755 -0.986 -0.865 -6.988 8.973" Properties=species:S:1:pos:R:3 pbc="T T T"
Pm -0.796 0.075 3.279
Pm -2.736 -5.776 6.439
Sm -3.099 -2.207 5.231
Ge -2.667 1.287 0.745
Ge 0.000 0.000 0.000
Ge -1.176 -3.000 7.228
Ge -2.355 -2.701 2.490
Pt -0.432 -3.494 4.486
Pt -1.364 -4.514 9.171
Pt -2.168 -1.187 0.547
```

DOS(E_F), states/eV per atom: 0.408
SG: P-4m2 (115)
Crystal system: tetragonal
Calculated density, g/cm³: 10.28
Energy of formation from the pure elements, eV per atom: -0.87

=====

# 3
CrGeAs2: relaxed, PBE.

```
8
Lattice="5.884 0.000 0.000 0.000 5.884 0.000 2.942 2.942 5.508" Properties=species:S:1:pos:R:3 pbc="T T T"
Cr 2.942 2.942 0.000
Cr 2.942 5.884 2.754
As 4.425 1.471 1.377
As 1.459 4.413 1.377
As 4.413 4.401 4.131
As 7.355 7.366 4.131
Ge 0.000 0.000 0.000
Ge 5.884 2.942 2.754
```

DOS(E_F), states/eV per atom: 0.210
SG: I-42d (122)
Crystal system: tetragonal
Calculated density, g/cm³: 4.78
Energy of formation from the pure elements, eV per atom: 0.13

=====

# 4
Mg2ScTlRu: relaxed, PBE.

```
5
Lattice="-3.746 0.808 3.825 -2.739 -4.226 -1.790 2.754 -3.215 3.376" Properties=species:S:1:pos:R:3 pbc="T T T"
Sc 0.000 0.000 0.000
Ru -1.865 -3.317 2.706
Tl -1.370 -2.113 -0.895
Mg 1.377 -1.607 1.688
Mg -1.873 0.404 1.913
```

DOS(E_F), states/eV per atom: 1.563
SG: P4/mmm (123)
Crystal system: tetragonal
Calculated density, g/cm³: 4.23
Energy of formation from the pure elements, eV per atom: 1.55

=====

# 5
LaPrAlPd: relaxed, PBE.

```
4
Lattice="-1.830 3.337 -3.688 -4.932 1.903 0.362 -0.791 5.101 1.200" Properties=species:S:1:pos:R:3 pbc="T T T"
Pr -1.888 2.585 -0.531
Al -3.776 5.170 -1.063
Pd 0.000 0.000 0.000
La -5.665 7.756 -1.594
```

DOS(E_F), states/eV per atom: 0.975
SG: F-43m (216)
Crystal system: cubic
Calculated density, g/cm³: 6.52
Energy of formation from the pure elements, eV per atom: -0.45

=====

# 6
Sn2Ge2Sb: relaxed, PBE.

```
10
Lattice="-5.206 -1.833 5.797 -3.489 -5.349 -4.825 2.382 -2.710 1.282" Properties=species:S:1:pos:R:3 pbc="T T T"
Sb 0.000 0.000 0.000
Sb -4.347 -3.591 0.486
Ge -4.882 -5.267 -2.061
Ge -6.711 -4.997 1.907
Ge -3.812 -1.916 3.034
Ge -1.983 -2.186 -0.935
Sn -1.909 -5.150 -1.619
Sn -5.168 -7.073 0.371
Sn -4.403 -4.743 3.874
Sn -1.144 -2.820 1.884
```

DOS(E_F), states/eV per atom: 0.514
SG: P4/mbm (127)
Crystal system: tetragonal
Calculated density, g/cm³: 6.83
Formation energy from raw total energies, meV/atom: 207.9
Offset from the most stable computed form, meV/atom: 39

=====

# 7
LaPrBr2: relaxed, PBE.

```
4
Lattice="3.786 0.000 0.000 1.893 3.279 0.000 1.893 1.093 10.481" Properties=species:S:1:pos:R:3 pbc="T T T"
Pr 3.786 2.186 5.241
Br 1.893 1.093 7.426
Br 5.679 3.279 3.055
La 0.000 0.000 0.000
```

DOS(E_F), states/eV per atom: 0.824
SG: R-3m (166)
Crystal system: trigonal
Calculated density, g/cm³: 5.61
Formation energy from raw total energies, meV/atom: -1124.5
Offset from the most stable computed form, meV/atom: 105

=====

# 8
SmDy2Sc4: relaxed, PBE.

```
7
Lattice="-1.272 -4.696 -2.007 -0.426 -1.312 3.339 -9.942 3.486 -1.854" Properties=species:S:1:pos:R:3 pbc="T T T"
Sm -0.213 -0.656 1.670
Dy -2.144 -1.928 -1.031
Dy -9.497 -0.594 0.509
Sc -4.860 -1.886 0.593
Sc -6.674 1.145 1.552
Sc -6.781 -0.636 -1.115
Sc -3.695 1.030 -0.067
```

DOS(E_F), states/eV per atom: 1.732
SG: Cmmm (65)
Crystal system: orthorhombic
Calculated density, g/cm³: 5.43
Energy of formation from the pure elements, eV per atom: 0.17
Offset from the most stable computed form, meV/atom: 0

=====

# 9
SrTe2Rh: relaxed, PBE.

```
4
Lattice="6.102 -0.002 0.000 2.901 5.369 0.000 -4.502 -2.683 3.126" Properties=species:S:1:pos:R:3 pbc="T T T"
Rh 4.502 2.683 0.000
Sr 3.051 -0.001 1.563
Te 0.000 0.000 0.000
Te 1.451 2.684 1.563
```

DOS(E_F), states/eV per atom: 0.888
SG: I-4m2 (119)
Crystal system: tetragonal
Calculated density, g/cm³: 7.23
Formation energy from raw total energies, meV/atom: -319.2
Offset from the most stable computed form, meV/atom: 465

=====

# 10
NiSeIBr2: relaxed, PBE.

```
5
Lattice="-3.833 1.486 -2.589 -2.974 -1.546 3.517 0.262 4.539 2.217" Properties=species:S:1:pos:R:3 pbc="T T T"
I -3.273 2.239 1.572
Ni 0.000 0.000 0.000
Se 0.131 2.270 1.108
Br -1.487 -0.773 1.758
Br -1.917 0.743 -1.295
```

DOS(E_F), states/eV per atom: 1.146
SG: P4/mmm (123)
Crystal system: tetragonal
Calculated density, g/cm³: 5.90
Formation energy from raw total energies, meV/atom: 194.3
Offset from the most stable computed form, meV/atom: 0

=====

# 11
TaOsSeBr2: relaxed, PBE.

```
5
Lattice="5.029 0.000 0.000 0.000 5.029 0.000 0.000 0.000 4.789" Properties=species:S:1:pos:R:3 pbc="T T T"
Os 0.000 0.000 0.000
Se 0.000 0.000 2.394
Br 0.000 2.514 0.000
Br 2.514 0.000 0.000
Ta 2.514 2.514 2.394
```

DOS(E_F), states/eV per atom: 1.048
SG: P4/mmm (123)
Crystal system: tetragonal
Calculated density, g/cm³: 8.36
Formation energy from raw total energies, meV/atom: 1339.9
Offset from the most stable computed form, meV/atom: 309

=====

# 12
ZrGe2TeOs: relaxed, PBE.

```
5
Lattice="4.641 0.000 0.000 0.000 5.707 0.000 0.000 0.000 4.641" Properties=species:S:1:pos:R:3 pbc="T T T"
Ge 0.000 0.000 2.320
Ge 2.320 0.000 0.000
Te 0.000 2.854 0.000
Os 0.000 0.000 0.000
Zr 2.320 2.854 2.320
```

DOS(E_F), states/eV per atom: 1.281
SG: P4/mmm (123)
Crystal system: tetragonal
Calculated density, g/cm³: 7.49
Formation energy from raw total energies, meV/atom: 547.7

=====

# 13
CaScH2: relaxed, PBE.

```
4
Lattice="-3.325 -0.766 -0.662 -0.931 -3.286 -0.647 -2.362 -2.213 5.304" Properties=species:S:1:pos:R:3 pbc="T T T"
Ca -3.396 -3.212 2.525
Sc -2.875 -2.736 -0.644
H -2.216 -2.080 4.417
H -1.440 -1.370 -0.305
```

DOS(E_F), states/eV per atom: 0.226
SG: R3m (160)
Crystal system: trigonal
Calculated density, g/cm³: 2.35
Offset from the most stable computed form, meV/atom: 31

=====

# 14
LiNdSmRu: relaxed, PBE.

```
4
Lattice="5.041 0.000 0.000 2.521 4.366 0.000 2.521 1.455 4.116" Properties=species:S:1:pos:R:3 pbc="T T T"
Ru 7.562 4.366 3.087
Nd 0.000 0.000 0.000
Sm 5.041 2.911 2.058
Li 2.521 1.455 1.029
```

DOS(E_F), states/eV per atom: 0.589
SG: F-43m (216)
Crystal system: cubic
Calculated density, g/cm³: 7.38
Energy of formation from the pure elements, eV per atom: -0.17

=====

# 15
PmNpAsO2: relaxed, PBE.

```
5
Lattice="3.846 0.000 0.000 0.000 3.846 0.000 -1.923 -1.923 6.143" Properties=species:S:1:pos:R:3 pbc="T T T"
Pm 1.923 1.923 4.378
Np 0.000 0.000 1.858
As 1.923 1.923 0.049
O 1.923 0.000 3.001
O 0.000 1.923 3.001
```

DOS(E_F), states/eV per atom: 1.863
SG: I4mm (107)
Crystal system: tetragonal
Calculated density, g/cm³: 8.93
Formation energy from raw total energies, meV/atom: -2385.1

=====

# 16
KPdPtBr6: relaxed, PBE.

```
9
Lattice="7.788 -0.021 0.530 3.883 5.556 0.287 0.537 0.028 6.961" Properties=species:S:1:pos:R:3 pbc="T T T"
K 3.877 5.104 0.287
Pd 4.160 1.929 3.759
Pt 8.051 3.742 4.023
Br 8.991 2.086 2.433
Br 3.362 0.035 5.240
Br 7.104 2.060 5.581
Br 10.454 3.594 5.300
Br 5.641 3.630 2.755
Br 4.976 0.055 2.262
```

DOS(E_F), states/eV per atom: 0.525
SG: P1 (1)
Crystal system: triclinic
Calculated density, g/cm³: 4.54
Formation energy from raw total energies, meV/atom: -519.5

=====

# 17
TlHg2H4: relaxed, PBE.

```
14
Lattice="-0.625 6.079 2.257 -2.995 3.095 8.134 3.212 3.895 7.694" Properties=species:S:1:pos:R:3 pbc="T T T"
Tl -2.756 6.205 9.224
Tl -2.619 9.303 10.320
Hg 0.728 5.115 8.423
Hg 0.415 8.154 9.552
Hg -0.878 3.167 4.576
Hg -1.082 9.702 13.619
H 1.487 3.282 6.220
H -0.031 6.948 10.627
H 0.984 10.159 11.662
H 0.959 5.477 4.668
H 1.249 7.929 13.230
H -0.152 6.150 7.441
H -0.128 10.831 14.435
H 0.208 2.300 3.616
```

DOS(E_F), states/eV per atom: 0.121
SG: C2/c (15)
Crystal system: monoclinic
Calculated density, g/cm³: 7.94
Raw total energy, eV/atom: -2.019

=====

# 18
TcRhPb: relaxed, PBE.

```
3
Lattice="6.328 -0.001 0.001 5.618 2.914 -0.006 0.711 0.180 2.909" Properties=species:S:1:pos:R:3 pbc="T T T"
Pb 0.729 0.184 2.904
Rh 4.239 1.038 1.994
Tc 8.399 2.050 0.915
```

DOS(E_F), states/eV per atom: 0.368
SG: I4mm (107)
Crystal system: tetragonal
Calculated density, g/cm³: 12.63
Energy of formation from the pure elements, eV per atom: 0.32
Offset from the most stable computed form, meV/atom: 0

=====

# 19
Zr2Zn16Os: relaxed, PBE.

```
19
Lattice="-1.770 1.464 6.273 5.349 -2.630 3.016 3.511 5.655 0.563" Properties=species:S:1:pos:R:3 pbc="T T T"
Zr 4.858 3.076 6.750
Zr 2.403 1.521 3.339
Zn 5.087 0.047 7.609
Zn 2.265 4.705 7.517
Zn 6.775 4.193 4.505
Zn 3.037 1.226 8.547
Zn 3.786 5.912 5.873
Zn 7.304 1.807 5.212
Zn 5.074 0.411 4.995
Zn 1.760 2.318 6.511
Zn 4.218 4.270 3.852
Zn 1.907 4.182 4.833
Zn 5.426 2.158 3.223
Zn 2.815 0.086 6.045
Zn 2.672 -1.309 1.511
Zn -0.878 0.733 3.135
Zn 1.756 2.823 0.287
Zn 0.741 0.469 1.029
Os 6.346 4.018 8.818
```

DOS(E_F), states/eV per atom: 0.348
SG: R3m (160)
Crystal system: trigonal
Calculated density, g/cm³: 8.08
Energy of formation from the pure elements, eV per atom: -0.10

=====

# 20
Nd2SnI: relaxed, PBE.

```
4
Lattice="-1.889 2.994 -1.136 -3.176 -1.920 0.221 -0.942 2.494 8.143" Properties=species:S:1:pos:R:3 pbc="T T T"
I -3.004 1.784 3.614
Nd -0.715 1.892 6.176
Nd -0.228 0.602 1.967
Sn -2.533 0.537 -0.457
```

DOS(E_F), states/eV per atom: 0.745
SG: P4/mmm (123)
Crystal system: tetragonal
Calculated density, g/cm³: 7.49
Formation energy from raw total energies, meV/atom: -773.3
Offset from the most stable computed form, meV/atom: 104